# 1
PrGaNO: optimized geometry, PBE.

Properties
SG: Pmc2_1

Structure (extended XYZ):
```
8
Lattice="4.0368 0.0000 0.0000 0.0000 5.3801 0.0000 0.0000 0.0000 5.3389" Properties=species:S:1:pos:R:3 pbc="T T T"
Pr 0.0000 1.3348 0.0000
Pr 0.0000 4.0452 2.6694
Ga 2.0184 1.4042 2.6394
Ga 2.0184 3.9759 5.3089
N 0.0000 1.6620 2.5394
N 0.0000 3.7181 5.2088
O 2.0184 0.3536 4.3152
O 2.0184 5.0264 1.6458
```


# 2
PrGaNO: optimized geometry, PBE.

Properties
SG: P4/nmm

Structure (extended XYZ):
```
8
Lattice="4.0155 0.0000 0.0000 0.0000 4.0155 0.0000 0.0000 0.0000 7.7272" Properties=species:S:1:pos:R:3 pbc="T T T"
Pr 1.0039 1.0039 1.2083
Pr 3.0116 3.0116 6.5189
Ga 1.0039 3.0116 3.8636
Ga 3.0116 1.0039 3.8636
N 1.0039 1.0039 4.7115
N 3.0116 3.0116 3.0157
O 1.0039 3.0116 0.0000
O 3.0116 1.0039 0.0000
```


# 3
PrGaNO: optimized geometry, PBE.

Properties
SG: Pca2_1

Structure (extended XYZ):
```
16
Lattice="5.7755 0.0000 0.0000 0.0000 7.9381 0.0000 0.0000 0.0000 5.2569" Properties=species:S:1:pos:R:3 pbc="T T T"
Pr 0.2297 1.0983 0.0000
Pr 2.6580 1.0983 2.6284
Pr 3.1174 6.8398 0.0000
Pr 5.5458 6.8398 2.6284
Ga 0.4800 4.6688 5.0174
Ga 2.4078 4.6688 2.3890
Ga 3.3677 3.2693 5.0174
Ga 5.2955 3.2693 2.3890
N 0.6396 4.6255 3.1115
N 2.2482 4.6255 0.4831
N 3.5273 3.3126 3.1115
N 5.1359 3.3126 0.4831
O 0.2772 1.4246 2.6664
O 2.6105 1.4246 0.0380
O 3.1650 6.5135 2.6664
O 5.4982 6.5135 0.0380
```


ΔE to the lowest computed polymorph readings, ordered: 0.000 0.119 0.003 eV per atom
Size of the total moment readings, ordered: 0.00 0.00 0.00 μB per formula unit
Calculated total energy readings, ordered: -0.2442 -0.2398 -0.2441 hartree per atom